No. 1
# Nd12Y7Tm PBE-GGA relaxed
# - E: -308.0 eV per cell
# - ρ: 6.04 g/cm3
# - Magnetic moment: 0.0 μB per formula unit
# - Formation energy from the elements: 214 meV/atom
# - Volume: 2079 Å³/cell
# - ΔE to the lowest computed polymorph: 0 meV per atom
data_Nd12Y7Tm
_chemical_formula_sum 'Nd36 Y21 Tm3'
_space_group_name_H-M_alt 'R -3'
_space_group_IT_number 148
_space_group_name_Hall '-R 3'
_cell_length_a 12.3303
_cell_length_b 12.3303
_cell_length_c 15.7900
_cell_angle_alpha 90.00
_cell_angle_beta 90.00
_cell_angle_gamma 120.00
loop_
_atom_site_label
_atom_site_fract_x
_atom_site_fract_y
_atom_site_fract_z
Nd1 0.0217 0.4483 0.2202
Nd2 0.0586 0.5908 0.5808
Y1 0.0000 0.0000 0.0000
Y2 0.0532 0.1870 0.2987
Tm1 0.0000 0.0000 0.5000

No. 2
# Nd7YTm4 PBE-GGA relaxed
# - E: -110.2 eV per cell
# - ρ: 7.22 g/cm3
# - Magnetic moment: 0.2 μB per formula unit
# - Formation energy from the elements: 217 meV/atom
# - Volume: 816 Å³/cell
# - ΔE to the lowest computed polymorph: 212 meV per atom
data_Nd7YTm4
_chemical_formula_sum 'Nd14 Y2 Tm8'
_space_group_name_H-M_alt 'C 1 2/m 1'
_space_group_IT_number 12
_cell_length_a 16.136
_cell_length_b 5.993
_cell_length_c 9.492
_cell_angle_alpha 90.00
_cell_angle_beta 117.31
_cell_angle_gamma 90.00
loop_
_space_group_symop_operation_xyz
'x,y,z'
'-x,-y,-z'
'-x,y,-z'
'x,-y,z'
'x+1/2,y+1/2,z'
'-x+1/2,-y+1/2,-z'
'-x+1/2,y+1/2,-z'
'x+1/2,-y+1/2,z'
loop_
_atom_site_label
_atom_site_fract_x
_atom_site_fract_y
_atom_site_fract_z
Nd1 0.000 0.000 0.000
Nd2 0.089 0.500 0.456
Nd3 0.214 0.500 0.890
Nd4 0.220 0.500 0.252
Y1 0.000 0.500 0.000
Tm1 0.067 0.000 0.701
Tm2 0.167 0.000 0.370

No. 3
# NdYTm6 PBE-GGA relaxed
# - E: -72.4 eV per cell
# - ρ: 8.17 g/cm3
# - Magnetic moment: 0.0 μB per formula unit
# - Formation energy from the elements: 231 meV/atom
# - Volume: 507 Å³/cell
data_NdYTm6
_chemical_formula_sum 'Nd2 Y2 Tm12'
_space_group_name_H-M_alt 'C 1 2/m 1'
_space_group_IT_number 12
_cell_length_a 6.655
_cell_length_b 11.677
_cell_length_c 6.523
_cell_angle_alpha 90.00
_cell_angle_beta 91.08
_cell_angle_gamma 90.00
loop_
_space_group_symop_operation_xyz
'x,y,z'
'-x,-y,-z'
'-x,y,-z'
'x,-y,z'
'x+1/2,y+1/2,z'
'-x+1/2,-y+1/2,-z'
'-x+1/2,y+1/2,-z'
'x+1/2,-y+1/2,z'
loop_
_atom_site_label
_atom_site_fract_x
_atom_site_fract_y
_atom_site_fract_z
Nd1 0.000 0.000 0.000
Y1 0.000 0.000 0.500
Tm1 0.041 0.500 0.251
Tm2 0.174 0.252 0.746

No. 4
# Nd4Y2Tm5 PBE-GGA relaxed
# - E: -107.6 eV per cell
# - ρ: 7.43 g/cm3
# - Magnetic moment: 0.0 μB per formula unit
# - Formation energy from the elements: 52 meV/atom
# - Volume: 715 Å³/cell
# - ΔE to the lowest computed polymorph: 0 meV per atom
data_Nd4Y2Tm5
_chemical_formula_sum 'Nd8 Y4 Tm10'
_space_group_name_H-M_alt 'C 1 2/m 1'
_space_group_IT_number 12
_cell_length_a 17.413
_cell_length_b 3.553
_cell_length_c 11.593
_cell_angle_alpha 90.00
_cell_angle_beta 94.78
_cell_angle_gamma 90.00
loop_
_space_group_symop_operation_xyz
'x,y,z'
'-x,-y,-z'
'-x,y,-z'
'x,-y,z'
'x+1/2,y+1/2,z'
'-x+1/2,-y+1/2,-z'
'-x+1/2,y+1/2,-z'
'x+1/2,-y+1/2,z'
loop_
_atom_site_label
_atom_site_fract_x
_atom_site_fract_y
_atom_site_fract_z
Nd1 0.055 0.000 0.283
Nd2 0.094 0.500 0.569
Y1 0.130 0.000 0.831
Tm1 0.000 0.500 0.000
Tm2 0.199 0.000 0.100
Tm3 0.231 0.500 0.364

No. 5
# NdY4Tm3 PBE-GGA relaxed
# - E: -43.8 eV per cell
# - ρ: 6.59 g/cm3
# - Magnetic moment: 0.0 μB per formula unit
# - Formation energy from the elements: 28 meV/atom
# - Volume: 254 Å³/cell
# - ΔE to the lowest computed polymorph: 24 meV per atom
data_NdY4Tm3
_chemical_formula_sum 'Nd1 Y4 Tm3'
_space_group_name_H-M_alt 'P m m m'
_space_group_IT_number 47
_cell_length_a 3.560
_cell_length_b 7.096
_cell_length_c 10.040
_cell_angle_alpha 90.00
_cell_angle_beta 90.00
_cell_angle_gamma 90.00
loop_
_space_group_symop_operation_xyz
'x,y,z'
'-x,-y,-z'
'-x,-y,z'
'x,y,-z'
'x,-y,-z'
'-x,y,z'
'-x,y,-z'
'x,-y,z'
loop_
_atom_site_label
_atom_site_fract_x
_atom_site_fract_y
_atom_site_fract_z
Nd1 0.000 0.000 0.000
Y1 0.500 0.252 0.252
Tm1 0.000 0.000 0.500
Tm2 0.000 0.500 0.000
Tm3 0.000 0.500 0.500

No. 6
# Nd2Y5Tm5 PBE-GGA relaxed
# - E: -126.8 eV per cell
# - ρ: 6.86 g/cm3
# - Magnetic moment: 0.0 μB per formula unit
# - Formation energy from the elements: 66 meV/atom
# - Volume: 763 Å³/cell
# - ΔE to the lowest computed polymorph: 39 meV per atom
data_Nd2Y5Tm5
_chemical_formula_sum 'Nd4 Y10 Tm10'
_space_group_name_H-M_alt 'C 1 2/m 1'
_space_group_IT_number 12
_cell_length_a 17.054
_cell_length_b 5.614
_cell_length_c 9.680
_cell_angle_alpha 90.00
_cell_angle_beta 124.53
_cell_angle_gamma 90.00
loop_
_space_group_symop_operation_xyz
'x,y,z'
'-x,-y,-z'
'-x,y,-z'
'x,-y,z'
'x+1/2,y+1/2,z'
'-x+1/2,-y+1/2,-z'
'-x+1/2,y+1/2,-z'
'x+1/2,-y+1/2,z'
loop_
_atom_site_label
_atom_site_fract_x
_atom_site_fract_y
_atom_site_fract_z
Nd1 0.124 0.000 0.294
Y1 0.000 0.000 0.500
Y2 0.125 0.000 0.961
Y3 0.250 0.000 0.754
Tm1 0.000 0.500 0.000
Tm2 0.124 0.500 0.456
Tm3 0.124 0.500 0.789

No. 7
# Nd4Y15Tm PBE-GGA relaxed
# - E: -120.1 eV per cell
# - ρ: 5.25 g/cm3
# - Magnetic moment: 0.0 μB per formula unit
# - Formation energy from the elements: 22 meV/atom
# - Volume: 658 Å³/cell
data_Nd4Y15Tm
_chemical_formula_sum 'Nd4 Y15 Tm1'
_space_group_name_H-M_alt 'P 4/m m m'
_space_group_IT_number 123
_space_group_name_Hall '-P 4 2'
_cell_length_a 5.090
_cell_length_b 5.090
_cell_length_c 25.381
_cell_angle_alpha 90.00
_cell_angle_beta 90.00
_cell_angle_gamma 90.00
loop_
_atom_site_label
_atom_site_fract_x
_atom_site_fract_y
_atom_site_fract_z
Nd1 0.000 0.000 0.101
Nd2 0.000 0.000 0.301
Y1 0.000 0.500 0.000
Y2 0.000 0.500 0.201
Y3 0.000 0.500 0.402
Y4 0.500 0.500 0.100
Y5 0.500 0.500 0.302
Y6 0.500 0.500 0.500
Tm1 0.000 0.000 0.500

No. 8
# Nd5YTm3 PBE-GGA relaxed
# - E: -163.5 eV per cell
# - ρ: 7.07 g/cm3
# - Magnetic moment: 0.0 μB per formula unit
# - Formation energy from the elements: 316 meV/atom
# - Volume: 1237 Å³/cell
# - ΔE to the lowest computed polymorph: 136 meV per atom
data_Nd5YTm3
_chemical_formula_sum 'Nd20 Y4 Tm12'
_space_group_name_H-M_alt 'I 4/m c m'
_space_group_IT_number 140
_space_group_name_Hall '-I 4 2c'
_cell_length_a 9.288
_cell_length_b 9.288
_cell_length_c 14.338
_cell_angle_alpha 90.00
_cell_angle_beta 90.00
_cell_angle_gamma 90.00
loop_
_atom_site_label
_atom_site_fract_x
_atom_site_fract_y
_atom_site_fract_z
Nd1 0.000 0.000 0.000
Nd2 0.201 0.299 0.131
Y1 0.000 0.500 0.250
Tm1 0.000 0.000 0.250
Tm2 0.109 0.391 0.500

No. 9
# NdY5Tm4 PBE-GGA relaxed
# - E: -54.5 eV per cell
# - ρ: 6.61 g/cm3
# - Magnetic moment: 0.0 μB per formula unit
# - Formation energy from the elements: 45 meV/atom
# - Volume: 318 Å³/cell
# - ΔE to the lowest computed polymorph: 0 meV per atom
data_NdY5Tm4
_chemical_formula_sum 'Nd1 Y5 Tm4'
_space_group_name_H-M_alt 'P 1'
_space_group_IT_number 1
_cell_length_a 5.425
_cell_length_b 7.031
_cell_length_c 8.757
_cell_angle_alpha 89.94
_cell_angle_beta 72.03
_cell_angle_gamma 89.94
loop_
_space_group_symop_operation_xyz
'x,y,z'
loop_
_atom_site_label
_atom_site_fract_x
_atom_site_fract_y
_atom_site_fract_z
Nd1 0.000 0.000 0.000
Y1 0.199 0.495 0.602
Y2 0.388 0.745 0.224
Y3 0.609 0.746 0.781
Y4 0.798 0.999 0.404
Y5 0.998 0.496 0.004
Tm1 0.199 0.999 0.602
Tm2 0.388 0.249 0.224
Tm3 0.609 0.248 0.781
Tm4 0.799 0.495 0.402

No. 10
# Nd4Y3Tm3 PBE-GGA relaxed
# - E: -102.0 eV per cell
# - ρ: 6.80 g/cm3
# - Magnetic moment: 0.0 μB per formula unit
# - Formation energy from the elements: 90 meV/atom
# - Volume: 660 Å³/cell
data_Nd4Y3Tm3
_chemical_formula_sum 'Nd8 Y6 Tm6'
_space_group_name_H-M_alt 'A m m 2'
_space_group_IT_number 38
_cell_length_a 3.806
_cell_length_b 13.171
_cell_length_c 13.163
_cell_angle_alpha 90.00
_cell_angle_beta 90.00
_cell_angle_gamma 90.00
loop_
_space_group_symop_operation_xyz
'x,y,z'
'-x,-y,z'
'-x,y,z'
'x,-y,z'
'x,y+1/2,z+1/2'
'-x,-y+1/2,z+1/2'
'-x,y+1/2,z+1/2'
'x,-y+1/2,z+1/2'
loop_
_atom_site_label
_atom_site_fract_x
_atom_site_fract_y
_atom_site_fract_z
Nd1 0.000 0.000 0.000
Nd2 0.000 0.000 0.261
Nd3 0.000 0.132 0.628
Y1 0.000 0.249 0.380
Y2 0.500 0.000 0.798
Tm1 0.500 0.000 0.461
Tm2 0.500 0.168 0.130

No. 11
# Nd4YTm5 PBE-GGA relaxed
# - E: -47.7 eV per cell
# - ρ: 7.78 g/cm3
# - Magnetic moment: 0.0 μB per formula unit
# - Formation energy from the elements: 24 meV/atom
# - Volume: 322 Å³/cell
# - ΔE to the lowest computed polymorph: 0 meV per atom
data_Nd4YTm5
_chemical_formula_sum 'Nd4 Y1 Tm5'
_space_group_name_H-M_alt 'P 4/m m m'
_space_group_IT_number 123
_space_group_name_Hall '-P 4 2'
_cell_length_a 3.591
_cell_length_b 3.591
_cell_length_c 25.002
_cell_angle_alpha 90.00
_cell_angle_beta 90.00
_cell_angle_gamma 90.00
loop_
_atom_site_label
_atom_site_fract_x
_atom_site_fract_y
_atom_site_fract_z
Nd1 0.000 0.000 0.100
Nd2 0.000 0.000 0.301
Y1 0.000 0.000 0.500
Tm1 0.500 0.500 0.000
Tm2 0.500 0.500 0.201
Tm3 0.500 0.500 0.402

No. 12
# NdYTm5 PBE-GGA relaxed
# - E: -128.8 eV per cell
# - ρ: 8.09 g/cm3
# - Magnetic moment: 0.0 μB per formula unit
# - Formation energy from the elements: 197 meV/atom
# - Volume: 885 Å³/cell
# - ΔE to the lowest computed polymorph: 0 meV per atom
data_NdYTm5
_chemical_formula_sum 'Nd4 Y4 Tm20'
_space_group_name_H-M_alt 'C 1 2/c 1'
_space_group_IT_number 15
_cell_length_a 11.528
_cell_length_b 6.772
_cell_length_c 11.988
_cell_angle_alpha 90.00
_cell_angle_beta 108.93
_cell_angle_gamma 90.00
loop_
_space_group_symop_operation_xyz
'x,y,z'
'-x,-y,-z'
'-x,y,-z+1/2'
'x,-y,z+1/2'
'x+1/2,y+1/2,z'
'-x+1/2,-y+1/2,-z'
'-x+1/2,y+1/2,-z+1/2'
'x+1/2,-y+1/2,z+1/2'
loop_
_atom_site_label
_atom_site_fract_x
_atom_site_fract_y
_atom_site_fract_z
Nd1 0.000 0.025 0.250
Y1 0.250 0.250 0.000
Tm1 0.000 0.411 0.750
Tm2 0.078 0.278 0.498
Tm3 0.221 0.359 0.252

No. 13
# Nd8Y2Tm PBE-GGA relaxed
# - E: -108.0 eV per cell
# - ρ: 6.52 g/cm3
# - Magnetic moment: 0.0 μB per formula unit
# - Formation energy from the elements: 138 meV/atom
# - Volume: 764 Å³/cell
# - ΔE to the lowest computed polymorph: 0 meV per atom
data_Nd8Y2Tm
_chemical_formula_sum 'Nd16 Y4 Tm2'
_space_group_name_H-M_alt 'C 1 2/m 1'
_space_group_IT_number 12
_cell_length_a 9.189
_cell_length_b 16.673
_cell_length_c 5.998
_cell_angle_alpha 90.00
_cell_angle_beta 123.74
_cell_angle_gamma 90.00
loop_
_space_group_symop_operation_xyz
'x,y,z'
'-x,-y,-z'
'-x,y,-z'
'x,-y,z'
'x+1/2,y+1/2,z'
'-x+1/2,-y+1/2,-z'
'-x+1/2,y+1/2,-z'
'x+1/2,-y+1/2,z'
loop_
_atom_site_label
_atom_site_fract_x
_atom_site_fract_y
_atom_site_fract_z
Nd1 0.000 0.205 0.000
Nd2 0.078 0.500 0.796
Nd3 0.216 0.118 0.682
Y1 0.000 0.310 0.500
Tm1 0.000 0.000 0.000

No. 14
# Nd2Y7Tm2 PBE-GGA relaxed
# - E: -123.5 eV per cell
# - ρ: 5.67 g/cm3
# - Magnetic moment: 0.0 μB per formula unit
# - Formation energy from the elements: 178 meV/atom
# - Volume: 731 Å³/cell
# - ΔE to the lowest computed polymorph: 18 meV per atom
data_Nd2Y7Tm2
_chemical_formula_sum 'Nd4 Y14 Tm4'
_space_group_name_H-M_alt 'C 1 2/m 1'
_space_group_IT_number 12
_cell_length_a 9.488
_cell_length_b 9.268
_cell_length_c 8.509
_cell_angle_alpha 90.00
_cell_angle_beta 102.28
_cell_angle_gamma 90.00
loop_
_space_group_symop_operation_xyz
'x,y,z'
'-x,-y,-z'
'-x,y,-z'
'x,-y,z'
'x+1/2,y+1/2,z'
'-x+1/2,-y+1/2,-z'
'-x+1/2,y+1/2,-z'
'x+1/2,-y+1/2,z'
loop_
_atom_site_label
_atom_site_fract_x
_atom_site_fract_y
_atom_site_fract_z
Nd1 0.107 0.000 0.363
Y1 0.000 0.500 0.500
Y2 0.190 0.000 0.024
Y3 0.201 0.201 0.695
Tm1 0.000 0.318 0.000

No. 15
# Nd11Y4Tm9 PBE-GGA relaxed
# - E: -234.0 eV per cell
# - ρ: 7.24 g/cm3
# - Magnetic moment: 0.0 μB per formula unit
# - Formation energy from the elements: 64 meV/atom
# - Volume: 1589 Å³/cell
data_Nd11Y4Tm9
_chemical_formula_sum 'Nd22 Y8 Tm18'
_space_group_name_H-M_alt 'C m m m'
_space_group_IT_number 65
_space_group_name_Hall '-C 2 2'
_cell_length_a 16.927
_cell_length_b 25.703
_cell_length_c 3.653
_cell_angle_alpha 90.00
_cell_angle_beta 90.00
_cell_angle_gamma 90.00
loop_
_atom_site_label
_atom_site_fract_x
_atom_site_fract_y
_atom_site_fract_z
Nd1 0.000 0.000 0.000
Nd2 0.000 0.161 0.000
Nd3 0.000 0.368 0.000
Nd4 0.210 0.500 0.000
Nd5 0.222 0.182 0.000
Y1 0.158 0.398 0.500
Tm1 0.000 0.500 0.500
Tm2 0.102 0.268 0.500
Tm3 0.140 0.073 0.500

No. 16
# NdY2Tm6 PBE-GGA relaxed
# - E: -88.5 eV per cell
# - ρ: 7.93 g/cm3
# - Magnetic moment: 0.0 μB per formula unit
# - Formation energy from the elements: 28 meV/atom
# - Volume: 559 Å³/cell
# - ΔE to the lowest computed polymorph: 0 meV per atom
data_NdY2Tm6
_chemical_formula_sum 'Nd2 Y4 Tm12'
_space_group_name_H-M_alt 'P 42/m n m'
_space_group_IT_number 136
_space_group_name_Hall '-P 4n 2n'
_cell_length_a 10.579
_cell_length_b 10.579
_cell_length_c 4.999
_cell_angle_alpha 90.00
_cell_angle_beta 90.00
_cell_angle_gamma 90.00
loop_
_atom_site_label
_atom_site_fract_x
_atom_site_fract_y
_atom_site_fract_z
Nd1 0.000 0.000 0.000
Y1 0.168 0.168 0.500
Tm1 0.001 0.335 0.000
Tm2 0.168 0.832 0.500

No. 17
# Nd6Y8Tm PBE-GGA relaxed
# - E: -246.5 eV per cell
# - ρ: 5.79 g/cm3
# - Magnetic moment: 0.0 μB per formula unit
# - Formation energy from the elements: 175 meV/atom
# - Volume: 1502 Å³/cell
# - ΔE to the lowest computed polymorph: 10 meV per atom
data_Nd6Y8Tm
_chemical_formula_sum 'Nd18 Y24 Tm3'
_space_group_name_H-M_alt 'R -3'
_space_group_IT_number 148
_space_group_name_Hall '-R 3'
_cell_length_a 9.8136
_cell_length_b 9.8136
_cell_length_c 18.0061
_cell_angle_alpha 90.00
_cell_angle_beta 90.00
_cell_angle_gamma 120.00
loop_
_atom_site_label
_atom_site_fract_x
_atom_site_fract_y
_atom_site_fract_z
Nd1 0.0434 0.2870 0.1767
Y1 0.0000 0.0000 0.0842
Y2 0.0607 0.2458 0.6697
Tm1 0.0000 0.0000 0.5000

No. 18
# Nd2Y5Tm12 PBE-GGA relaxed
# - E: -186.1 eV per cell
# - ρ: 7.53 g/cm3
# - Magnetic moment: 0.0 μB per formula unit
# - Formation energy from the elements: 129 meV/atom
# - Volume: 1217 Å³/cell
# - ΔE to the lowest computed polymorph: 102 meV per atom
data_Nd2Y5Tm12
_chemical_formula_sum 'Nd4 Y10 Tm24'
_space_group_name_H-M_alt 'C 1 2/m 1'
_space_group_IT_number 12
_cell_length_a 15.783
_cell_length_b 9.127
_cell_length_c 8.449
_cell_angle_alpha 90.00
_cell_angle_beta 91.39
_cell_angle_gamma 90.00
loop_
_space_group_symop_operation_xyz
'x,y,z'
'-x,-y,-z'
'-x,y,-z'
'x,-y,z'
'x+1/2,y+1/2,z'
'-x+1/2,-y+1/2,-z'
'-x+1/2,y+1/2,-z'
'x+1/2,-y+1/2,z'
loop_
_atom_site_label
_atom_site_fract_x
_atom_site_fract_y
_atom_site_fract_z
Nd1 0.000 0.187 0.000
Y1 0.000 0.500 0.500
Y2 0.198 0.000 0.006
Y3 0.235 0.500 0.578
Tm1 0.055 0.000 0.329
Tm2 0.094 0.500 0.884
Tm3 0.127 0.192 0.652
Tm4 0.157 0.319 0.248

No. 19
# Nd3Y2Tm6 PBE-GGA relaxed
# - E: -103.6 eV per cell
# - ρ: 7.24 g/cm3
# - Magnetic moment: 1.7 μB per formula unit
# - Formation energy from the elements: 207 meV/atom
# - Volume: 745 Å³/cell
# - ΔE to the lowest computed polymorph: 0 meV per atom
data_Nd3Y2Tm6
_chemical_formula_sum 'Nd6 Y4 Tm12'
_space_group_name_H-M_alt 'C 1 2/m 1'
_space_group_IT_number 12
_cell_length_a 6.142
_cell_length_b 10.656
_cell_length_c 11.565
_cell_angle_alpha 90.00
_cell_angle_beta 100.28
_cell_angle_gamma 90.00
loop_
_space_group_symop_operation_xyz
'x,y,z'
'-x,-y,-z'
'-x,y,-z'
'x,-y,z'
'x+1/2,y+1/2,z'
'-x+1/2,-y+1/2,-z'
'-x+1/2,y+1/2,-z'
'x+1/2,-y+1/2,z'
loop_
_atom_site_label
_atom_site_fract_x
_atom_site_fract_y
_atom_site_fract_z
Nd1 0.000 0.000 0.000
Nd2 0.000 0.335 0.000
Y1 0.000 0.166 0.500
Tm1 0.249 0.000 0.747
Tm2 0.249 0.333 0.747